Below is CaAsHSe2 after structural relaxation, with properties calculated at the PBE level.

Output
DOS(E_F) = 2.01 states/eV/cell
ΔE to the lowest computed polymorph = 0 meV per atom
VASP energy = -18.5 eV per cell
volume = 94 Å³/f.u.

```
CaAsHSe2
1.0
5.0775 0.0000 0.0000
0.0000 5.0775 0.0000
0.0000 0.0000 3.6429
Ca As H Se
1 1 1 2
Cartesian
0.0000 0.0000 0.0000
2.5387 2.5387 0.0000
2.5387 2.5387 1.8214
0.0000 2.5387 1.8214
2.5387 0.0000 1.8214
```

***

Below is CaSiAsH2 after structural relaxation, with properties calculated at the PBE level.

Output
DOS(E_F) = 3.64 states/eV/cell
VASP energy = -15.7 eV per cell
volume = 97 Å³/f.u.

```
CaSiAsH2
1.0
4.0181 0.0000 0.0000
0.0000 4.0181 0.0000
0.0000 0.0000 5.9793
Ca Si As H
1 1 1 2
Cartesian
0.0000 0.0000 0.0000
2.0090 2.0090 0.0000
0.0000 0.0000 2.9896
0.0000 2.0090 2.9896
2.0090 0.0000 2.9896
```

***

Below is CaSiAs2H after structural relaxation, with properties calculated at the PBE level.

Output
DOS(E_F) = 1.76 states/eV/cell
VASP energy = -21.0 eV per cell
volume = 91 Å³/f.u.

```
CaSiAs2H
1.0
5.2234 0.0000 0.0000
0.0000 5.2234 0.0000
0.0000 0.0000 3.3171
Ca Si As H
1 1 2 1
Cartesian
0.0000 0.0000 0.0000
2.6117 2.6117 1.6585
0.0000 2.6117 1.6585
2.6117 0.0000 1.6585
2.6117 2.6117 0.0000
```

***

Below is Sr2Ca4As3H2 after structural relaxation, with properties calculated at the PBE level.

Output
DOS(E_F) = 2.37 states/eV/cell
VASP energy = -42.5 eV per cell
volume = 264 Å³/f.u.

```
Sr2Ca4As3H2
1.0
-2.3386 2.3386 12.0909
2.3386 -2.3386 12.0909
2.3386 2.3386 -12.0909
Sr Ca As H
2 4 3 2
Cartesian
0.0000 0.0000 4.8385
0.0000 0.0000 19.3432
2.3386 0.0000 1.8898
2.3386 0.0000 10.2010
0.0000 2.3386 1.8898
0.0000 2.3386 10.2010
0.0000 0.0000 8.0485
0.0000 0.0000 12.0909
0.0000 0.0000 16.1333
0.0000 0.0000 2.2579
0.0000 0.0000 21.9239
```